Entry from Alexandria via LeMat-Bulk: CaCo3Se after structural relaxation (PBE).

Computed properties:
M_tot = 0.87 μB/atom
energy above the lowest structure with this stoichiometry = 155.2 kJ/mol of atoms
energy relative to the elements, uncorrected = 1.83 eV/atom
final energy = -3.5291 eV per atom

Cell lengths 4.614, 4.614, 4.614 Å; angles 90.00, 90.00, 90.00 degrees
Space group Pm-3m (No. 221)
Symmetry-distinct sites (fractional):
Ca1 0.000 0.000 0.000 [1 per cell]
Co1 0.000 0.000 0.500 [3 per cell]
Se1 0.500 0.500 0.500 [1 per cell]

***

Entry from Alexandria via LeMat-Bulk: CsNp3P4N12 after structural relaxation (PBE).

Computed properties:
M_tot = 0.30 μB/atom
energy relative to the elements, uncorrected = -0.44 eV/atom
final energy = -8.5055 eV per atom

Cell lengths 10.8549, 10.8549, 9.2400 Å; angles 90.00, 90.00, 120.00 degrees
Space group R32 (No. 155, hexagonal axes)
Symmetry-distinct sites (fractional):
Cs1 0.0000 0.0000 0.0000 [3 per cell]
Np1 0.0000 0.5565 0.0000 [9 per cell]
P1 0.0000 0.0000 0.5000 [3 per cell]
P2 0.0000 0.4422 0.5000 [9 per cell]
N1 0.0000 0.5898 0.5000 [9 per cell]
N2 0.0000 0.8530 0.5000 [9 per cell]
N3 0.0308 0.2256 0.2141 [18 per cell]

***

Entry from Alexandria via LeMat-Bulk: PrThRhS after structural relaxation (PBE).

Computed properties:
M_tot = 0.00 μB/atom
energy relative to the elements, uncorrected = -1.24 eV/atom
final energy = -7.1584 eV per atom

Cell lengths 4.0012, 4.0012, 22.3621 Å; angles 90.00, 90.00, 120.00 degrees
Space group R3m (No. 160, hexagonal axes)
Symmetry-distinct sites (fractional):
Pr1 0.0000 0.0000 0.0000 [3 per cell]
Th1 0.0000 0.0000 0.8196 [3 per cell]
Rh1 0.0000 0.0000 0.4171 [3 per cell]
S1 0.0000 0.0000 0.2414 [3 per cell]

***

Entry from Alexandria via LeMat-Bulk: ZrZnPt after structural relaxation (PBE).

Computed properties:
M_tot = 0.00 μB/atom
ΔE_f = -350 meV/atom
final energy = -5.6380 eV per atom

Cell lengths 3.0622, 3.0622, 6.6164 Å; angles 90.00, 90.00, 120.00 degrees
Space group P3m1 (No. 156)
Symmetry-distinct sites (fractional):
Zr1 0.0000 0.0000 0.0000 [1 per cell]
Zn1 0.3333 0.6667 0.6442 [1 per cell]
Pt1 0.6667 0.3333 0.3405 [1 per cell]